1.
Computed, not measured: a relaxed Pd2PbF crystal at the PBE-GGA level of DFT.

Unit cell a=5.7406 b=5.7406 c=5.7406 alpha=103.11 beta=103.11 gamma=123.12
Last column: nearest neighbours and their distance in Å.
Atoms (fractional coordinates):
Pd: 0.0951 0.6250 0.9701  2 F 2.47, 2 Pb 2.77, 2 Pd 2.77
Pd: 0.3750 0.3451 0.4701  2 F 2.47, 2 Pb 2.77, 2 Pd 2.77
Pd: 0.6549 0.1250 0.0299  2 F 2.47, 2 Pb 2.77, 2 Pd 2.77
Pd: 0.8750 0.9049 0.5299  2 F 2.47, 2 Pb 2.77, 2 Pd 2.77
Pb: 0.2500 0.7500 0.5000  2 F 2.73, 4 Pd 2.77
Pb: 0.5000 0.5000 0.0000  2 F 2.73, 4 Pd 2.77
F: 0.0000 0.0000 0.0000  4 Pd 2.47, 2 Pb 2.73
F: 0.7500 0.2500 0.5000  4 Pd 2.47, 2 Pb 2.73

Properties
The value obtained for the density of states at the Fermi level is 3.91 states/eV per cell. The value obtained for the formation energy without anion corrections is -0.455 eV per atom. Its polymorph energy (0 for the lowest one) is 0.215 eV/f.u. For the uncorrected energy, the calculation gives -4.447 eV/atom.



2.
Computed, not measured: a relaxed PdPbF crystal at the PBE-GGA level of DFT.

Unit cell a=4.8653 b=4.8653 c=6.3871 alpha=112.62 beta=112.62 gamma=58.47
Last column: nearest neighbours and their distance in Å.
Atoms (fractional coordinates):
Pd: 0.0000 0.0000 0.0000  4 Pb 2.76-2.85, 3 Pd 2.77-2.83
Pd: 0.6710 0.6710 0.0110  4 Pb 2.76-2.85, 3 Pd 2.77-2.83
Pb: 0.3353 0.3353 0.0048  2 F 2.47-2.48, 4 Pd 2.76
Pb: 0.8712 0.8712 0.5051  3 F 2.36-2.56
F: 0.1677 0.1677 0.5747  2 Pb 2.36-2.47
F: 0.4484 0.4484 0.4351  3 Pb 2.48-2.56

Properties
The value obtained for the density of states at the Fermi level is 0.92 states/eV per cell. The value obtained for the formation energy without anion corrections is -1.115 eV per atom. Its polymorph energy (0 for the lowest one) is 0.000 eV/f.u. For the uncorrected energy, the calculation gives -4.706 eV/atom.



3.
Computed, not measured: a relaxed PdPbF crystal at the PBE-GGA level of DFT.

Unit cell a=4.2947 b=4.2947 c=3.3008 alpha=90.00 beta=90.00 gamma=120.00
Last column: nearest neighbours and their distance in Å.
Atoms (fractional coordinates):
Pd: 0.0000 0.0000 0.0000  3 F 2.48
Pb: 0.3333 0.6667 0.4968  6 F 2.97-2.99, 6 Pd 2.97-2.98, 2 Pb 3.30
F: 0.6667 0.3333 0.9923  3 Pd 2.48

Properties
The value obtained for the density of states at the Fermi level is 2.24 states/eV per cell. The value obtained for the formation energy without anion corrections is -0.759 eV per atom. Its polymorph energy (0 for the lowest one) is 1.068 eV/f.u. For the uncorrected energy, the calculation gives -4.350 eV/atom.



4.
Computed, not measured: a relaxed Pd2PbF2 crystal at the PBE-GGA level of DFT.

Unit cell a=6.2501 b=6.2501 c=6.2501 alpha=145.29 beta=145.29 gamma=49.91
Last column: nearest neighbours and their distance in Å.
Atoms (fractional coordinates):
Pd: 0.1185 0.1185 0.0000  4 F 2.39
Pd: 0.8815 0.8815 0.0000  4 F 2.39
Pb: 0.5000 0.5000 0.0000  8 Pd 2.96
F: 0.2500 0.7500 0.5000  4 Pd 2.39, 4 F 2.64
F: 0.7500 0.2500 0.5000  4 Pd 2.39, 4 F 2.64

Properties
The value obtained for the density of states at the Fermi level is 6.89 states/eV per cell. The value obtained for the formation energy without anion corrections is -0.683 eV per atom. Its polymorph energy (0 for the lowest one) is 0.000 eV/f.u. For the uncorrected energy, the calculation gives -4.251 eV/atom.



5.
Computed, not measured: a relaxed PdPb2F6 crystal at the PBE-GGA level of DFT.

Unit cell a=5.4695 b=5.4695 c=11.2729 alpha=90.00 beta=90.00 gamma=90.00
Last column: nearest neighbours and their distance in Å.
Atoms (fractional coordinates):
Pd: 0.0000 0.0000 0.0000  6 F 2.22-2.23
Pd: 0.5000 0.5000 0.5000  6 F 2.22-2.23
Pb: 0.0000 0.0000 0.3348  6 F 2.45-2.49
Pb: 0.0000 0.0000 0.6652  6 F 2.45-2.49
Pb: 0.5000 0.5000 0.1652  6 F 2.45-2.49
Pb: 0.5000 0.5000 0.8348  6 F 2.45-2.49
F: 0.1835 0.1835 0.1531  1 Pd 2.23, 2 Pb 2.45-2.49
F: 0.1835 0.1835 0.8469  1 Pd 2.23, 2 Pb 2.45-2.49
F: 0.2132 0.2132 0.5000  1 Pd 2.22
F: 0.2868 0.7132 0.0000  1 Pd 2.22
F: 0.3165 0.6835 0.3469  1 Pd 2.23, 2 Pb 2.45-2.49
F: 0.3165 0.6835 0.6531  1 Pd 2.23, 2 Pb 2.45-2.49
F: 0.6835 0.3165 0.3469  1 Pd 2.23, 2 Pb 2.45-2.49
F: 0.6835 0.3165 0.6531  1 Pd 2.23, 2 Pb 2.45-2.49
F: 0.7132 0.2868 0.0000  1 Pd 2.22
F: 0.7868 0.7868 0.5000  1 Pd 2.22
F: 0.8165 0.8165 0.1531  1 Pd 2.23, 2 Pb 2.45-2.49
F: 0.8165 0.8165 0.8469  1 Pd 2.23, 2 Pb 2.45-2.49

Properties
The value obtained for the formation energy without anion corrections is -1.925 eV per atom. For the uncorrected energy, the calculation gives -4.574 eV/atom.



6.
Computed, not measured: a relaxed Pd2PbF11 crystal at the PBE-GGA level of DFT.

Unit cell a=8.2766 b=8.2766 c=8.2766 alpha=114.38 beta=114.09 gamma=100.31
Last column: nearest neighbours and their distance in Å.
Atoms (fractional coordinates):
Pd: 0.1616 0.1610 0.3226  6 F 1.86-2.05
Pd: 0.3384 0.6610 0.9994  6 F 1.86-2.05
Pd: 0.6616 0.3390 0.0006  6 F 1.86-2.05
Pd: 0.8384 0.8390 0.6774  6 F 1.86-2.05
Pb: 0.2500 0.7500 0.5000  8 F 2.47-2.48
Pb: 0.7500 0.2500 0.5000  8 F 2.47-2.48
F: 0.0000 0.0000 0.0000  2 Pd 2.05
F: 0.0767 0.8602 0.6770  1 Pd 1.95
F: 0.1001 0.4223 0.7822  1 Pd 1.95
F: 0.1401 0.9223 0.3222  1 Pd 1.95
F: 0.1832 0.3997 0.3230  1 Pd 1.95
F: 0.1916 0.8074 0.9989  1 Pd 1.86
F: 0.3084 0.3074 0.6158  1 Pd 1.86
F: 0.3168 0.6398 0.2165  1 Pd 1.95
F: 0.3599 0.6821 0.7822  1 Pd 1.95
F: 0.3999 0.1821 0.3222  1 Pd 1.95
F: 0.4233 0.1003 0.7835  1 Pd 1.95
F: 0.5000 0.5000 0.0000  2 Pd 2.05
F: 0.5767 0.8997 0.2165  1 Pd 1.95
F: 0.6001 0.8179 0.6778  1 Pd 1.95
F: 0.6401 0.3179 0.2178  1 Pd 1.95
F: 0.6832 0.3602 0.7835  1 Pd 1.95
F: 0.6916 0.6926 0.3842  1 Pd 1.86
F: 0.8084 0.1926 0.0011  1 Pd 1.86
F: 0.8168 0.6003 0.6770  1 Pd 1.95
F: 0.8599 0.0777 0.6778  1 Pd 1.95
F: 0.8999 0.5777 0.2178  1 Pd 1.95
F: 0.9233 0.1398 0.3230  1 Pd 1.95

Properties
The value obtained for the density of states at the Fermi level is 21.22 states/eV per cell. The value obtained for the formation energy without anion corrections is -1.399 eV per atom. For the uncorrected energy, the calculation gives -3.877 eV/atom.



7.
Computed, not measured: a relaxed PdPbF4 crystal at the PBE-GGA level of DFT.

Unit cell a=7.2170 b=7.2170 c=4.6032 alpha=105.00 beta=105.00 gamma=117.77
Last column: nearest neighbours and their distance in Å.
Atoms (fractional coordinates):
Pd: 0.0661 0.9339 0.7500  4 F 1.99-2.18
Pd: 0.9339 0.0661 0.2500  4 F 1.99-2.18
Pb: 0.3554 0.6446 0.2500  4 F 2.40-2.56
Pb: 0.6446 0.3554 0.7500  4 F 2.40-2.56
F: 0.0673 0.6803 0.9224  1 Pd 2.18, 1 Pb 2.40
F: 0.2304 0.3612 0.6137  1 Pd 1.99
F: 0.3197 0.9327 0.5776  1 Pd 2.18, 1 Pb 2.40
F: 0.3612 0.2304 0.1137  1 Pd 1.99
F: 0.6388 0.7696 0.8863  1 Pd 1.99
F: 0.6803 0.0673 0.4224  1 Pd 2.18, 1 Pb 2.40
F: 0.7696 0.6388 0.3863  1 Pd 1.99
F: 0.9327 0.3197 0.0776  1 Pd 2.18, 1 Pb 2.40

Properties
The value obtained for the density of states at the Fermi level is 3.37 states/eV per cell. The value obtained for the formation energy without anion corrections is -1.672 eV per atom. Its polymorph energy (0 for the lowest one) is 0.785 eV/f.u. For the uncorrected energy, the calculation gives -4.403 eV/atom.



8.
Computed, not measured: a relaxed Pd2PbF crystal at the PBE-GGA level of DFT.

Unit cell a=4.5567 b=4.5567 c=4.5567 alpha=60.00 beta=60.00 gamma=60.00
Last column: nearest neighbours and their distance in Å.
Atoms (fractional coordinates):
Pd: 0.2500 0.2500 0.2500  4 F 2.79, 4 Pb 2.79
Pd: 0.7500 0.7500 0.7500  4 F 2.79, 4 Pb 2.79
Pb: 0.0000 0.0000 0.0000  8 Pd 2.79
F: 0.5000 0.5000 0.5000  8 Pd 2.79

Properties
The value obtained for the density of states at the Fermi level is 1.02 states/eV per cell. The value obtained for the formation energy without anion corrections is -0.509 eV per atom. Its polymorph energy (0 for the lowest one) is 0.000 eV/f.u. For the uncorrected energy, the calculation gives -4.500 eV/atom.



9.
Computed, not measured: a relaxed PdPb2F6 crystal at the PBE-GGA level of DFT.

Unit cell a=9.5549 b=9.5549 c=9.5549 alpha=153.35 beta=153.35 gamma=38.05
Last column: nearest neighbours and their distance in Å.
Atoms (fractional coordinates):
Pd: 0.0000 0.0000 0.0000  4 F 2.11
Pb: 0.3258 0.3258 0.0000  6 F 2.34-2.59
Pb: 0.6742 0.6742 0.0000  6 F 2.34-2.59
F: 0.1292 0.6928 0.0000  1 Pd 2.11, 1 Pb 2.34
F: 0.2500 0.7500 0.5000  4 Pb 2.59
F: 0.3072 0.3072 0.4364  1 Pd 2.11, 1 Pb 2.34
F: 0.6928 0.1292 0.0000  1 Pd 2.11, 1 Pb 2.34
F: 0.7500 0.2500 0.5000  4 Pb 2.59
F: 0.8708 0.8708 0.5636  1 Pd 2.11, 1 Pb 2.34

Properties
The value obtained for the formation energy without anion corrections is -1.795 eV per atom. For the uncorrected energy, the calculation gives -4.444 eV/atom.



10.
Computed, not measured: a relaxed PdPbF2 crystal at the PBE-GGA level of DFT.

Unit cell a=7.4698 b=7.4698 c=7.4698 alpha=27.62 beta=27.62 gamma=27.62
Last column: nearest neighbours and their distance in Å.
Atoms (fractional coordinates):
Pd: 0.0000 0.0000 0.0000  6 F 2.35
Pb: 0.5000 0.5000 0.5000  2 F 2.46
F: 0.3856 0.3856 0.3856  3 Pd 2.35, 1 Pb 2.46
F: 0.6144 0.6144 0.6144  3 Pd 2.35, 1 Pb 2.46

Properties
The value obtained for the density of states at the Fermi level is 2.91 states/eV per cell. The value obtained for the formation energy without anion corrections is -0.896 eV per atom. Its polymorph energy (0 for the lowest one) is 1.357 eV/f.u. For the uncorrected energy, the calculation gives -4.057 eV/atom.



11.
Computed, not measured: a relaxed PdPbF crystal at the PBE-GGA level of DFT.

Unit cell a=3.3361 b=5.2244 c=7.2098 alpha=71.51 beta=89.71 gamma=71.44
Last column: nearest neighbours and their distance in Å.
Atoms (fractional coordinates):
Pd: 0.0000 0.0000 0.0000  1 F 2.33
Pd: 0.3217 0.3602 0.6830  1 F 2.33
Pb: 0.6606 0.6802 0.3415  2 F 2.45
Pb: 0.6609 0.6801 0.8416  2 F 2.43
F: 0.4874 0.0324 0.5137  1 Pd 2.33, 2 Pb 2.43-2.45
F: 0.8422 0.3278 0.1694  1 Pd 2.33, 2 Pb 2.43-2.45

Properties
The value obtained for the density of states at the Fermi level is 2.48 states/eV per cell. The value obtained for the formation energy without anion corrections is -0.965 eV per atom. Its polymorph energy (0 for the lowest one) is 0.450 eV/f.u. For the uncorrected energy, the calculation gives -4.556 eV/atom.



12.
Computed, not measured: a relaxed PdPbF2 crystal at the PBE-GGA level of DFT.

Unit cell a=8.4186 b=8.4186 c=8.4186 alpha=151.47 beta=151.47 gamma=40.78
Last column: nearest neighbours and their distance in Å.
Atoms (fractional coordinates):
Pd: 0.0000 0.0000 0.0000  4 F 2.43
Pd: 0.7500 0.2500 0.5000  4 F 2.43
Pb: 0.2500 0.7500 0.5000  4 F 2.49
Pb: 0.5000 0.5000 0.0000  4 F 2.49
F: 0.1073 0.6250 0.9823  2 Pd 2.43, 2 Pb 2.49
F: 0.3750 0.3573 0.4823  2 Pd 2.43, 2 Pb 2.49
F: 0.6427 0.1250 0.0177  2 Pd 2.43, 2 Pb 2.49
F: 0.8750 0.8927 0.5177  2 Pd 2.43, 2 Pb 2.49

Properties
The value obtained for the density of states at the Fermi level is 0.00 states/eV per cell. The value obtained for the formation energy without anion corrections is -1.236 eV per atom. Its polymorph energy (0 for the lowest one) is 0.000 eV/f.u. For the uncorrected energy, the calculation gives -4.397 eV/atom.